Here is an optimized crystal structure of KNaGa2I8 from Alexandria via LeMat-Bulk. Energies are from PBE.

total DFT energy (no corrections)	-30.331	eV/cell
symmetry	R-3 (148)
energy relative to the elements, uncorrected	-0.788	eV/atom
mass density	3.83	Mg/m³

Lattice parameters (Å, degrees): 7.5093 7.5093 11.6513 71.20 71.20 60.00
Closest atoms and distances in Å follow each position.
Atoms (fractional coordinates):
K 0.5000 0.5000 0.5000  12 I 4.17-4.34
Na 0.0000 0.0000 0.0000  6 I 3.32
Ga 0.2474 0.2474 0.2578  4 I 2.58-2.60
Ga 0.7526 0.7526 0.7422  4 I 2.58-2.60
I 0.1679 0.1679 0.4963  1 Ga 2.58
I 0.5878 0.2973 0.1837  1 Ga 2.60
I 0.8321 0.8321 0.5037  1 Ga 2.58
I 0.9311 0.5878 0.1837  1 Ga 2.60
I 0.0689 0.4122 0.8163  1 Ga 2.60
I 0.2973 0.9311 0.1837  1 Ga 2.60
I 0.7027 0.0689 0.8163  1 Ga 2.60
I 0.4122 0.7027 0.8163  1 Ga 2.60



Here is an optimized crystal structure of Mg3InAg3 from Alexandria via LeMat-Bulk. Energies are from PBE.

total DFT energy (no corrections)	-67.137	eV/cell
symmetry	P2_13 (198)
E above lowest polymorph	0.036	eV/atom
mass density	5.94	Mg/m³
ΔH_f (0 K)	-68	kJ/mol of formula units

Lattice parameters (Å, degrees): 8.3014 8.3014 8.3014 90.00 90.00 90.00
Closest atoms and distances in Å follow each position.
Atoms (fractional coordinates):
Mg 0.8572 0.3572 0.1428  6 Ag 2.76-2.82, 1 In 2.99
Mg 0.8798 0.8798 0.8798  6 Ag 2.90, 3 In 3.07
Mg 0.7849 0.7151 0.2849  6 Ag 2.91-3.01, 1 In 3.16, 3 Mg 3.25
Mg 0.1428 0.8572 0.3572  6 Ag 2.76-2.82, 1 In 2.99
Mg 0.2151 0.2151 0.2151  6 Ag 2.91-3.01, 1 In 3.16, 3 Mg 3.25
Mg 0.2849 0.7849 0.7151  6 Ag 2.91-3.01, 1 In 3.16, 3 Mg 3.25
Mg 0.1202 0.3798 0.6202  6 Ag 2.90, 3 In 3.07
Mg 0.3572 0.1428 0.8572  6 Ag 2.76-2.82, 1 In 2.99
Mg 0.7151 0.2849 0.7849  6 Ag 2.91-3.01, 1 In 3.16, 3 Mg 3.25
Mg 0.6428 0.6428 0.6428  6 Ag 2.76-2.82, 1 In 2.99
Mg 0.6202 0.1202 0.3798  6 Ag 2.90, 3 In 3.07
Mg 0.3798 0.6202 0.1202  6 Ag 2.90, 3 In 3.07
In 0.0651 0.5651 0.9349  5 Mg 2.99-3.16, 6 Ag 3.10-3.11
In 0.9349 0.0651 0.5651  5 Mg 2.99-3.16, 6 Ag 3.10-3.11
In 0.4349 0.4349 0.4349  5 Mg 2.99-3.16, 6 Ag 3.10-3.11
In 0.5651 0.9349 0.0651  5 Mg 2.99-3.16, 6 Ag 3.10-3.11
Ag 0.6929 0.5975 0.9680  6 Mg 2.76-3.01, 2 Ag 2.96
Ag 0.9025 0.0320 0.1929  6 Mg 2.76-3.01, 2 Ag 2.96
Ag 0.9680 0.6929 0.5975  6 Mg 2.76-3.01, 2 Ag 2.96
Ag 0.0975 0.5320 0.3071  6 Mg 2.76-3.01, 2 Ag 2.96
Ag 0.3071 0.0975 0.5320  6 Mg 2.76-3.01, 2 Ag 2.96
Ag 0.1929 0.9025 0.0320  6 Mg 2.76-3.01, 2 Ag 2.96
Ag 0.0320 0.1929 0.9025  6 Mg 2.76-3.01, 2 Ag 2.96
Ag 0.4025 0.4680 0.8071  6 Mg 2.76-3.01, 2 Ag 2.96
Ag 0.5320 0.3071 0.0975  6 Mg 2.76-3.01, 2 Ag 2.96
Ag 0.5975 0.9680 0.6929  6 Mg 2.76-3.01, 2 Ag 2.96
Ag 0.8071 0.4025 0.4680  6 Mg 2.76-3.01, 2 Ag 2.96
Ag 0.4680 0.8071 0.4025  6 Mg 2.76-3.01, 2 Ag 2.96